Density functional theory data (PBE) for a relaxed structure of KLa3Br8.

VASP energy ... -50.96 eV for the cell shown
M_tot ... 2.1 μB/f.u.

abc: 8.353 8.353 9.586
angles: 64.17 64.17 60.00
Last column: magnetic moment on the atom in μB.
Atoms (fractional coordinates):
K  0.500  0.500  0.500  0.00
La  0.000  0.500  0.000  0.32
La  0.500  0.000  0.000  0.32
La  0.500  0.500  0.000  0.32
Br  0.744  0.744  0.768  0.01
Br  0.256  0.256  0.232  0.01
Br  0.762  0.762  0.216  0.00
Br  0.762  0.260  0.216  0.00
Br  0.260  0.762  0.216  0.00
Br  0.740  0.238  0.784  0.00
Br  0.238  0.740  0.784  0.00
Br  0.238  0.238  0.784  0.00